Record 1
## Sr3NdRh8 (PBE)

Data for a relaxed Sr3NdRh8 crystal.

Results
**Space group**: R3m
**Density of states at the Fermi level**: 14.17 states/eV/cell
**Raw total energy**: -73.1 eV for the cell shown
**Calculated formation energy**: -4.4 eV/f.u.

Lattice parameters (Å, degrees): 5.4622 5.4622 9.4899 73.27 73.27 60.00
Fractional positions:
Nd 0.8752 0.8752 0.3744
Rh 0.4370 0.9344 0.1916
Rh 0.1876 0.1876 0.4372
Rh 0.4413 0.9377 0.6832
Rh 0.9377 0.9377 0.6832
Rh 0.4370 0.4370 0.1916
Rh 0.6875 0.6875 0.9375
Rh 0.9377 0.4413 0.6832
Rh 0.9344 0.4370 0.1916
Sr 0.3746 0.3746 0.8761
Sr 0.0014 0.0014 0.9958
Sr 0.4985 0.4985 0.5044


Record 2
## SrNdTlRh (PBE)

Data for a relaxed SrNdTlRh crystal.

Results
**Space group**: F-43m
**Density of states at the Fermi level**: 2.46 states/eV/cell
**Raw total energy**: -17.3 eV for the cell shown
**Calculated formation energy**: -1.1 eV/f.u.

Lattice parameters (Å, degrees): 5.3373 5.3373 5.3373 60.00 60.00 60.00
Fractional positions:
Nd 0.2500 0.2500 0.2500
Sr 0.7500 0.7500 0.7500
Tl 0.0000 0.0000 0.0000
Rh 0.5000 0.5000 0.5000


Record 3
## SrNdZnRh (PBE)

Data for a relaxed SrNdZnRh crystal.

Results
**Space group**: F-43m
**Density of states at the Fermi level**: 4.16 states/eV/cell
**Raw total energy**: -16.2 eV for the cell shown
**Calculated formation energy**: -1.1 eV/f.u.

Lattice parameters (Å, degrees): 5.1702 5.1702 5.1702 60.00 60.00 60.00
Fractional positions:
Rh 0.5000 0.5000 0.5000
Nd 0.7500 0.7500 0.7500
Sr 0.2500 0.2500 0.2500
Zn 0.0000 0.0000 0.0000


Record 4
## NdTaRh2 (PBE)

Data for a relaxed NdTaRh2 crystal.

Results
**Space group**: P4/mmm
**Density of states at the Fermi level**: 3.24 states/eV/cell
**Excess energy over the best structure of this formula in the dataset**: 0 meV/atom
**Raw total energy**: -33.4 eV for the cell shown
**Calculated formation energy**: -2.1 eV/f.u.

Lattice parameters (Å, degrees): 3.2024 3.2024 7.4806 90.00 90.00 90.00
Fractional positions:
Ta 0.5000 0.5000 0.0000
Rh 0.0000 0.0000 0.8038
Rh 0.0000 0.0000 0.1962
Nd 0.5000 0.5000 0.5000


Record 5
## NdTaRh2 (PBE)

Data for a relaxed NdTaRh2 crystal.

Results
**Space group**: R-3m
**Density of states at the Fermi level**: 4.12 states/eV/cell
**Excess energy over the best structure of this formula in the dataset**: 71 meV/atom
**Raw total energy**: -33.1 eV for the cell shown
**Calculated formation energy**: -1.8 eV/f.u.

Lattice parameters (Å, degrees): 4.3377 4.3377 5.7118 67.68 67.68 60.00
Fractional positions:
Rh 0.2146 0.2146 0.3563
Rh 0.7854 0.7854 0.6437
Ta 0.5000 0.5000 0.5000
Nd 0.0000 0.0000 0.0000


Record 6
## NdTaRh (PBE)

Data for a relaxed NdTaRh crystal.

Results
**Space group**: P4/nmm
**Density of states at the Fermi level**: 5.83 states/eV/cell
**Raw total energy**: -50.1 eV for the cell shown
**Calculated formation energy**: -1.1 eV/f.u.

Lattice parameters (Å, degrees): 4.5571 4.5571 6.7035 90.00 90.00 90.00
Fractional positions:
Rh 0.0000 0.5000 0.3171
Rh 0.5000 0.0000 0.6829
Ta 0.5000 0.5000 0.5000
Ta 0.0000 0.0000 0.5000
Nd 0.0000 0.5000 0.8709
Nd 0.5000 0.0000 0.1291


Record 7
## Nd2TmTa2Rh5 (PBE)

Data for a relaxed Nd2TmTa2Rh5 crystal.

Results
**Space group**: P4/mbm
**Density of states at the Fermi level**: 15.75 states/eV/cell
**Raw total energy**: -158.3 eV for the cell shown
**Calculated formation energy**: -4.7 eV/f.u.

Lattice parameters (Å, degrees): 3.5075 10.7065 10.7065 90.00 90.00 90.00
Fractional positions:
Rh 0.5000 0.7103 0.4472
Rh 0.5000 0.5000 0.0000
Rh 0.5000 0.2103 0.0528
Rh 0.5000 0.7897 0.9472
Rh 0.5000 0.9472 0.2103
Rh 0.5000 0.4472 0.2897
Rh 0.5000 0.0000 0.5000
Rh 0.5000 0.2897 0.5528
Rh 0.5000 0.5528 0.7103
Rh 0.5000 0.0528 0.7897
Nd 0.0000 0.8254 0.6746
Nd 0.0000 0.3254 0.8254
Nd 0.0000 0.6746 0.1746
Nd 0.0000 0.1746 0.3254
Ta 0.0000 0.1287 0.6287
Ta 0.0000 0.8713 0.3713
Ta 0.0000 0.3713 0.1287
Ta 0.0000 0.6287 0.8713
Tm 0.0000 0.5000 0.5000
Tm 0.0000 0.0000 0.0000


Record 8
## Nd2Ta2ZnRh5 (PBE)

Data for a relaxed Nd2Ta2ZnRh5 crystal.

Results
**Space group**: P4/mbm
**Density of states at the Fermi level**: 13.68 states/eV/cell
**Raw total energy**: -149.6 eV for the cell shown
**Calculated formation energy**: -3.5 eV/f.u.

Lattice parameters (Å, degrees): 3.1128 10.9467 10.9467 90.00 90.00 90.00
Fractional positions:
Ta 0.0000 0.6395 0.8605
Ta 0.0000 0.3605 0.1395
Ta 0.0000 0.1395 0.6395
Ta 0.0000 0.8605 0.3605
Rh 0.5000 0.9402 0.1891
Rh 0.5000 0.6891 0.4402
Rh 0.5000 0.8109 0.9402
Rh 0.5000 0.5598 0.6891
Rh 0.5000 0.5000 0.0000
Rh 0.5000 0.0000 0.5000
Rh 0.5000 0.1891 0.0598
Rh 0.5000 0.0598 0.8109
Rh 0.5000 0.4402 0.3109
Rh 0.5000 0.3109 0.5598
Nd 0.0000 0.6696 0.1696
Nd 0.0000 0.1696 0.3304
Nd 0.0000 0.8304 0.6696
Nd 0.0000 0.3304 0.8304
Zn 0.0000 0.0000 0.0000
Zn 0.0000 0.5000 0.5000


Record 9
## Tb2Nd2Rh3 (PBE)

Data for a relaxed Tb2Nd2Rh3 crystal.

Results
**Space group**: I2_13
**Density of states at the Fermi level**: 7.06 states/eV/cell
**Excess energy over the best structure of this formula in the dataset**: 0 meV/atom
**Raw total energy**: -91.3 eV for the cell shown
**Calculated formation energy**: -4.8 eV/f.u.

Lattice parameters (Å, degrees): 7.5740 7.5740 7.5740 109.47 109.47 109.47
Fractional positions:
Tb 0.3868 0.5000 0.0000
Tb 0.1132 0.6132 0.6132
Tb 0.5000 0.8868 0.5000
Tb 0.0000 0.0000 0.8868
Rh 0.2500 0.8443 0.0943
Rh 0.3443 0.0943 0.7500
Rh 0.9057 0.2500 0.6557
Rh 0.7500 0.6557 0.4057
Rh 0.1557 0.4057 0.2500
Rh 0.5943 0.7500 0.8443
Nd 0.6258 0.1258 0.1258
Nd 0.8742 0.5000 0.0000
Nd 0.0000 0.0000 0.3742
Nd 0.5000 0.3742 0.5000


Record 10
## TbNdRh2 (PBE)

Data for a relaxed TbNdRh2 crystal.

Results
**Space group**: P4/mmm
**Density of states at the Fermi level**: 3.00 states/eV/cell
**Raw total energy**: -27.0 eV for the cell shown
**Calculated formation energy**: -2.9 eV/f.u.

Lattice parameters (Å, degrees): 3.5523 4.8995 4.8995 90.00 90.00 90.00
Fractional positions:
Rh 0.0000 0.5000 0.0000
Rh 0.0000 0.0000 0.5000
Tb 0.5000 0.5000 0.5000
Nd 0.5000 0.0000 0.0000


Record 11
## TbNd3Rh (PBE)

Data for a relaxed TbNd3Rh crystal.

Results
**Space group**: Ima2
**Density of states at the Fermi level**: 11.71 states/eV/cell
**Excess energy over the best structure of this formula in the dataset**: 0 meV/atom
**Raw total energy**: -55.6 eV for the cell shown
**Calculated formation energy**: -1.5 eV/f.u.

Lattice parameters (Å, degrees): 7.4658 7.4658 7.4658 107.47 111.69 109.28
Fractional positions:
Tb 0.5364 0.8302 0.2062
Tb 0.6240 0.3302 0.7938
Nd 0.9398 0.2307 0.2091
Nd 0.0715 0.8339 0.3412
Nd 0.4928 0.7303 0.6588
Nd 0.0715 0.2303 0.7375
Nd 0.0216 0.7307 0.7909
Nd 0.4928 0.3339 0.2625
Rh 0.1469 0.5332 0.1137
Rh 0.4194 0.0332 0.8863


Record 12
## TbNd3Rh8 (PBE)

Data for a relaxed TbNd3Rh8 crystal.

Results
**Space group**: R3m
**Density of states at the Fermi level**: 6.72 states/eV/cell
**Raw total energy**: -85.9 eV for the cell shown
**Calculated formation energy**: -8.1 eV/f.u.

Lattice parameters (Å, degrees): 5.3997 5.3997 9.3584 73.23 73.23 60.00
Fractional positions:
Rh 0.9379 0.4390 0.6853
Rh 0.9379 0.9379 0.6853
Rh 0.1876 0.1876 0.4371
Rh 0.4369 0.4369 0.1897
Rh 0.6875 0.6875 0.9376
Rh 0.4390 0.9379 0.6853
Rh 0.4369 0.9365 0.1897
Rh 0.9365 0.4369 0.1897
Nd 0.5005 0.5005 0.4986
Nd 0.3751 0.3751 0.8747
Nd 0.9997 0.9997 0.0010
Tb 0.8747 0.8747 0.3760


- Which value of density of states at the Fermi level does entry 5 give?
  4.12 states/eV/cell